Entry 1:
Cs5Sn4Sb4 | Alexandria via LeMat-Bulk | PBE-GGA | relaxed; symmetry = I4/m (87); calculated total energy = -3.09 eV/atom; DOS at the Fermi energy = 0.33 states/eV/atom; total magnetic moment = 0.00 μB/f.u.; ΔE_f (raw) = -0.26 eV per atom
1.0
-3.620 1.916 -3.453
-3.044 -8.440 -5.648
-9.270 -0.896 5.066
Cs Sb Sn
5 4 4
Cartesian
-11.036 -3.145 1.514
-4.530 -0.303 0.425
0.000 0.000 0.000
-4.898 -4.275 -5.549
-11.404 -7.117 -4.460
-7.208 -2.574 1.974
-8.726 -4.846 -6.008
-10.127 -5.918 -0.978
-5.807 -1.502 -3.057
-4.982 -4.023 -1.165
-8.070 -2.362 -1.161
-7.864 -5.058 -2.874
-10.952 -3.397 -2.870

=====

Entry 2:
TlAg2W | Alexandria via LeMat-Bulk | PBE-GGA | relaxed; symmetry = Immm (71); calculated total energy = -4.54 eV/atom; DOS at the Fermi energy = 0.65 states/eV/atom; total magnetic moment = 0.00 μB/f.u.; energy of formation = 0.717 eV/atom
1.0
-5.940 -1.434 -0.067
-2.054 -5.752 -0.196
3.003 4.606 2.667
Ag Tl W
2 1 1
Cartesian
-4.145 -3.726 -0.136
-7.846 -7.053 -0.258
-1.524 -2.370 1.169
-3.467 -0.210 1.234

=====

Entry 3:
Na5HgPb | Alexandria via LeMat-Bulk | PBE-GGA | relaxed; symmetry = C2/c (15); calculated total energy = -1.62 eV/atom; DOS at the Fermi energy = 0.53 states/eV/atom; total magnetic moment = 0.00 μB/f.u.; energy of formation = -0.105 eV/atom
1.0
5.707 0.001 0.005
0.607 5.675 0.005
-0.001 -0.001 13.286
Na Hg Pb
10 2 2
Cartesian
5.286 3.110 11.772
5.497 0.234 9.969
1.022 2.564 5.121
2.658 0.744 11.764
2.659 0.749 8.166
3.654 4.926 5.129
1.027 2.565 1.523
5.291 3.111 8.174
0.816 5.441 3.326
3.655 4.931 1.531
0.000 0.000 0.000
0.000 0.000 6.643
3.762 2.164 3.326
2.551 3.511 9.969

=====

Entry 4:
Er2Zn12Ag5 | Alexandria via LeMat-Bulk | PBE-GGA | relaxed; symmetry = R-3m (166); calculated total energy = -2.20 eV/atom; DOS at the Fermi energy = 0.43 states/eV/atom; total magnetic moment = 0.00 μB/f.u.; energy of formation = -0.160 eV/atom
1.0
-5.550 3.323 -2.480
0.508 -2.285 -6.520
-4.462 -5.264 0.614
Er Zn Ag
2 12 5
Cartesian
-3.249 -1.444 -2.866
-6.257 -2.782 -5.520
-3.698 1.608 -3.715
-5.486 -4.003 -2.670
-3.116 -2.583 -6.072
-4.795 -2.639 -0.332
-6.005 0.091 -4.145
-4.019 -0.223 -5.716
-6.389 -1.643 -2.314
-5.218 0.698 -1.534
-1.344 -0.571 -5.285
-1.012 -3.196 -4.339
-2.943 -4.353 -1.567
-3.500 -4.317 -4.240
-8.515 -3.786 -7.512
0.254 -1.143 -3.260
-2.231 -2.632 0.307
-2.775 1.661 -1.240
-0.990 -0.440 -0.873

=====

Entry 5:
CsSi3Hg | Alexandria via LeMat-Bulk | PBE-GGA | relaxed; symmetry = Pm-3m (221); calculated total energy = -1.32 eV/atom; DOS at the Fermi energy = 1.09 states/eV/atom; total magnetic moment = 0.00 μB/f.u.; ΔE_f (raw) = 2.16 eV per atom
1.0
5.718 0.000 0.000
0.000 5.718 0.000
0.000 0.000 5.718
Si Cs Hg
3 1 1
Cartesian
2.859 0.000 0.000
0.000 0.000 2.859
0.000 2.859 0.000
0.000 0.000 0.000
2.859 2.859 2.859

=====

Entry 6:
TiBeO3 | Alexandria via LeMat-Bulk | PBE-GGA | relaxed; symmetry = Pm-3m (221); calculated total energy = -7.19 eV/atom; DOS at the Fermi energy = 0.04 states/eV/atom; total magnetic moment = 0.00 μB/f.u.; ΔE_f (raw) = -1.89 eV per atom
1.0
3.352 0.000 0.000
0.000 3.352 0.000
0.000 0.000 3.352
Be O Ti
1 3 1
Cartesian
0.000 0.000 0.000
1.676 0.000 0.000
0.000 1.676 0.000
0.000 0.000 1.676
1.676 1.676 1.676

=====

Entry 7:
VFeBr2 | Alexandria via LeMat-Bulk | PBE-GGA | relaxed; symmetry = Fm-3m (225); calculated total energy = -4.69 eV/atom; DOS at the Fermi energy = 1.11 states/eV/atom; total magnetic moment = 6.74 μB/f.u.; ΔE_f (raw) = 0.54 eV per atom
1.0
0.000 3.355 3.355
3.355 0.000 3.355
3.355 3.355 0.000
Fe V Br
1 1 2
Cartesian
3.355 3.355 3.355
0.000 0.000 0.000
5.032 5.032 5.032
1.677 1.677 1.677

=====

Entry 8:
Ho8ZnGe3Te4 | Alexandria via LeMat-Bulk | PBE-GGA | relaxed; symmetry = R-3m (166); calculated total energy = -5.07 eV/atom; DOS at the Fermi energy = 0.46 states/eV/atom; total magnetic moment = 0.00 μB/f.u.; ΔE_f (raw) = -1.05 eV per atom
1.0
8.411 0.000 0.000
0.000 8.593 0.122
-4.206 -4.201 5.951
Ho Zn Te Ge
8 1 4 3
Cartesian
2.147 2.271 0.148
4.206 4.154 2.932
2.059 2.121 5.924
-2.059 2.121 5.924
4.206 0.215 3.062
0.000 0.238 3.140
0.000 4.178 3.011
6.265 2.271 0.148
0.000 4.297 0.061
-2.103 -2.101 2.975
2.103 -2.101 2.975
0.000 0.000 0.000
4.206 0.000 0.000
4.206 4.297 0.061
-2.103 2.196 3.036
2.103 2.196 3.036

=====

Entry 9:
La3Tb4In | Alexandria via LeMat-Bulk | PBE-GGA | relaxed; symmetry = Pmn2_1 (31); calculated total energy = -4.60 eV/atom; DOS at the Fermi energy = 1.41 states/eV/atom; total magnetic moment = 0.00 μB/f.u.; energy of formation = -0.099 eV/atom
1.0
-1.501 -5.644 -2.409
6.164 -2.725 2.544
-5.241 -2.762 9.740
La Tb In
6 8 2
Cartesian
2.645 -6.413 -0.396
-0.847 -4.255 5.009
1.482 -4.694 9.449
-1.404 -4.033 1.412
-4.043 -5.424 6.318
4.083 -3.323 4.615
4.831 -4.378 1.358
-0.758 -6.633 7.552
-0.062 -7.956 4.382
1.765 -3.070 0.079
-1.722 -3.180 8.346
-3.105 -6.563 3.140
1.029 -1.729 3.232
1.732 -5.321 2.925
2.201 -5.836 6.201
-0.513 -5.250 -1.765

=====

Entry 10:
Sm2ZnS | Alexandria via LeMat-Bulk | PBE-GGA | relaxed; symmetry = R-3m (166); calculated total energy = -4.83 eV/atom; DOS at the Fermi energy = 0.47 states/eV/atom; total magnetic moment = 0.00 μB/f.u.; ΔE_f (raw) = -1.12 eV per atom
1.0
-0.964 -3.744 -0.959
1.944 -3.048 1.673
-4.508 -2.396 5.616
Sm Zn S
2 1 1
Cartesian
-2.759 -6.894 4.873
-0.769 -2.294 1.457
-1.764 -4.594 3.165
0.000 0.000 0.000

=====

Entry 11:
Ce2SmHo3P6 | Alexandria via LeMat-Bulk | PBE-GGA | relaxed; symmetry = C2/m (12); calculated total energy = -6.80 eV/atom; DOS at the Fermi energy = 0.81 states/eV/atom; total magnetic moment = 0.84 μB/f.u.; energy of formation = -1.573 eV/atom
1.0
6.998 -0.001 0.001
-3.498 6.061 0.001
-1.167 -2.021 6.581
Ho P Sm Ce
3 6 1 2
Cartesian
-2.338 4.044 3.291
4.671 -0.004 3.291
1.166 2.020 3.291
2.353 0.000 1.675
2.323 4.023 1.682
3.509 2.002 4.907
-0.020 4.040 4.907
0.010 0.016 4.900
-1.176 2.038 1.675
0.000 0.000 0.000
3.501 2.019 0.001
-0.001 4.041 0.001

=====

Entry 12:
DyHo4Er6 | Alexandria via LeMat-Bulk | PBE-GGA | relaxed; symmetry = Cmcm (63); calculated total energy = -4.44 eV/atom; DOS at the Fermi energy = 1.71 states/eV/atom; total magnetic moment = 0.00 μB/f.u.; energy of formation = 0.129 eV/atom
1.0
-2.559 -4.955 -0.288
4.769 0.523 2.768
-12.896 5.431 21.189
Er Dy Ho
12 2 8
Cartesian
-9.440 0.626 18.997
-3.010 1.115 7.570
-10.895 1.564 15.790
-7.727 0.238 10.451
-10.321 4.175 19.912
-0.366 -3.176 3.757
-1.280 -2.478 -0.144
0.209 -0.565 7.879
-4.130 -1.591 9.943
-6.556 2.590 13.727
-1.247 0.373 4.673
-7.677 -0.116 16.100
-2.231 -2.393 6.863
-8.455 3.392 16.807
-4.768 1.850 10.557
-9.207 0.849 13.086
-1.479 0.150 10.584
-12.525 2.247 18.538
0.594 -0.408 1.748
-5.919 -0.851 13.113
1.839 -1.248 5.131
-11.280 1.407 21.922

=====

Entry 13:
SrCdTe4 | Alexandria via LeMat-Bulk | PBE-GGA | relaxed; symmetry = F-43m (216); calculated total energy = -2.78 eV/atom; DOS at the Fermi energy = 0.14 states/eV/atom; total magnetic moment = 0.00 μB/f.u.; ΔE_f (raw) = -0.25 eV per atom
1.0
6.247 -0.537 -1.807
3.691 -4.810 2.411
1.870 -4.922 -3.853
Te Cd Sr
4 1 1
Cartesian
7.550 -4.120 -2.121
4.429 -3.852 -1.219
6.274 -6.255 -0.014
5.364 -6.311 -3.144
8.856 -7.702 -2.437
0.000 0.000 0.000

=====

Entry 14:
MnSnTeN2 | Alexandria via LeMat-Bulk | PBE-GGA | relaxed; symmetry = P4/mmm (123); calculated total energy = -5.70 eV/atom; DOS at the Fermi energy = 0.75 states/eV/atom; total magnetic moment = 0.11 μB/f.u.; ΔE_f (raw) = 0.89 eV per atom
1.0
-3.584 0.891 -1.279
-1.360 -0.221 3.657
1.060 5.285 0.714
Mn Sn N Te
1 1 2 1
Cartesian
0.000 0.000 0.000
-1.942 2.978 1.546
-1.792 0.446 -0.640
-0.680 -0.111 1.828
0.530 2.643 0.357

=====

Entry 15:
NbTcGe4 | Alexandria via LeMat-Bulk | PBE-GGA | relaxed; symmetry = Cmmm (65); calculated total energy = -6.41 eV/atom; DOS at the Fermi energy = 0.49 states/eV/atom; total magnetic moment = 0.00 μB/f.u.; energy of formation = 0.076 eV/atom
1.0
-2.585 -1.560 0.579
0.566 -0.266 -6.364
2.913 -4.658 0.454
Ge Tc Nb
4 1 1
Cartesian
2.204 -3.866 -4.674
0.840 -1.685 -4.886
-1.310 -2.618 -0.658
0.054 -4.800 -0.446
0.447 -3.242 -2.666
-1.009 -0.913 -2.893

=====

Entry 16:
Ce2SiSn | Alexandria via LeMat-Bulk | PBE-GGA | relaxed; symmetry = P4/mmm (123); calculated total energy = -5.87 eV/atom; DOS at the Fermi energy = 2.42 states/eV/atom; total magnetic moment = 1.35 μB/f.u.; ΔE_f (raw) = -0.55 eV per atom
1.0
-1.882 -2.695 0.754
0.843 -1.413 -2.944
6.826 -3.720 3.740
Sn Si Ce
1 1 2
Cartesian
2.894 -3.914 0.775
-0.520 -2.054 -1.095
1.520 -0.828 0.833
5.306 -2.892 2.907

=====

Entry 17:
PmMgZrPb | Alexandria via LeMat-Bulk | PBE-GGA | relaxed; symmetry = F-43m (216); calculated total energy = -4.74 eV/atom; DOS at the Fermi energy = 0.89 states/eV/atom; total magnetic moment = 0.27 μB/f.u.; energy of formation = -0.094 eV/atom
1.0
-4.209 -0.873 3.034
0.562 -2.388 4.654
-0.645 2.729 4.452
Pb Zr Mg Pm
1 1 1 1
Cartesian
-2.146 -0.266 6.070
-3.219 -0.400 9.105
0.000 0.000 0.000
-1.073 -0.133 3.035

=====

Entry 18:
Zr2TlCo | Alexandria via LeMat-Bulk | PBE-GGA | relaxed; symmetry = Immm (71); calculated total energy = -6.63 eV/atom; DOS at the Fermi energy = 1.10 states/eV/atom; total magnetic moment = 0.00 μB/f.u.; energy of formation = 0.012 eV/atom
1.0
5.235 -0.011 0.008
3.854 3.543 0.008
2.316 0.900 4.263
Co Zr Tl
1 2 1
Cartesian
8.554 3.324 3.209
5.449 2.117 2.298
2.571 0.999 4.103
2.851 1.108 1.070

=====

Entry 19:
CaSn5Te7 | Alexandria via LeMat-Bulk | PBE-GGA | relaxed; symmetry = Cmc2_1 (36); calculated total energy = -3.82 eV/atom; DOS at the Fermi energy = 0.47 states/eV/atom; total magnetic moment = 0.00 μB/f.u.; ΔE_f (raw) = -0.43 eV per atom
1.0
4.462 0.000 0.000
-2.231 7.420 0.009
0.000 -0.030 25.805
Te Sn Ca
14 10 2
Cartesian
2.231 2.145 0.915
0.000 5.267 13.819
2.231 5.883 9.883
2.231 4.735 21.130
2.231 4.518 17.624
2.231 6.184 2.809
0.000 5.430 24.885
2.231 1.956 11.978
0.000 2.659 8.223
0.000 1.222 15.703
2.231 0.678 19.316
0.000 2.884 4.720
0.000 1.507 22.781
0.000 6.720 6.421
0.000 4.005 10.951
2.231 3.219 14.862
2.231 7.327 12.913
0.000 4.192 1.960
0.000 0.086 0.002
2.231 0.617 9.058
2.231 0.834 3.864
2.231 3.381 23.852
0.000 6.773 21.968
0.000 6.570 16.774
0.000 2.850 19.582
2.231 4.547 6.680

=====

Entry 20:
RbCa2MgNi | Alexandria via LeMat-Bulk | PBE-GGA | relaxed; symmetry = P4/mmm (123); calculated total energy = -2.39 eV/atom; DOS at the Fermi energy = 0.57 states/eV/atom; total magnetic moment = 0.00 μB/f.u.; energy of formation = 0.077 eV/atom
1.0
-1.300 2.615 4.818
3.000 -3.805 2.875
4.343 3.057 -0.487
Ca Ni Rb Mg
2 1 1 1
Cartesian
1.500 -1.902 1.437
-0.650 1.308 2.409
0.000 0.000 0.000
3.022 0.934 3.603
2.172 1.528 -0.244

=====

Entry 21:
ScNbNiRu | Alexandria via LeMat-Bulk | PBE-GGA | relaxed; symmetry = F-43m (216); calculated total energy = -8.21 eV/atom; DOS at the Fermi energy = 0.96 states/eV/atom; total magnetic moment = 0.00 μB/f.u.; energy of formation = -0.348 eV/atom
1.0
4.474 0.000 0.000
2.237 3.875 0.000
2.237 1.292 3.653
Ru Sc Ni Nb
1 1 1 1
Cartesian
6.712 3.875 2.740
0.000 0.000 0.000
2.237 1.292 0.913
4.474 2.583 1.827

=====

Entry 22:
ScNi10B3 | Alexandria via LeMat-Bulk | PBE-GGA | relaxed; symmetry = Fm-3m (225); calculated total energy = -6.36 eV/atom; DOS at the Fermi energy = 1.08 states/eV/atom; total magnetic moment = 0.00 μB/f.u.; energy of formation = -0.348 eV/atom
1.0
6.455 0.000 3.727
2.152 6.086 3.727
0.000 0.000 7.453
Ni B Sc
20 6 2
Cartesian
5.290 3.740 9.162
0.722 2.042 6.203
2.330 3.740 7.453
4.303 5.135 7.453
0.000 0.000 4.953
3.317 2.345 5.745
1.430 4.044 2.476
6.276 2.345 7.453
3.595 4.044 3.727
3.317 2.345 9.162
0.000 0.000 2.501
5.290 3.740 5.745
2.166 0.000 6.203
4.289 0.000 2.476
1.430 4.044 4.977
4.303 0.950 7.453
0.722 2.042 1.250
5.011 2.042 3.727
2.166 0.000 1.250
4.289 0.000 4.977
3.314 4.442 5.739
5.293 1.643 5.739
3.314 4.442 9.167
6.282 4.442 7.453
5.293 1.643 9.167
2.324 1.643 7.453
6.455 4.564 11.180
2.152 1.521 3.727